Material: PrErGa
Method: DFT, PBE
State: relaxed

Cell and atoms, written as POSCAR:
```
PrErGa
1.0
4.912 0.000 0.000
2.457 4.256 0.000
0.000 0.000 8.758
Pr Er Ga
2 2 2
Direct
0.155 0.561 0.010
0.155 0.561 0.569
0.822 0.227 0.789
0.488 0.894 0.289
0.822 0.227 0.141
0.822 0.227 0.437
```

## Properties
For the final energy, the calculation gives -4.24 eV/atom. For the density of states at the Fermi level, the calculation gives 8.8 states/eV per cell. As for the relative energy among the computed polymorphs: 0.872 eV/f.u.

Material: RbPdBr3
Method: DFT, PBE
State: relaxed

Cell and atoms, written as POSCAR:
```
RbPdBr3
1.0
25.154 0.000 5.221
0.000 7.247 0.000
-7.859 0.000 2.456
Br Rb Pd
12 4 4
Direct
0.314 0.064 0.952
0.686 0.936 0.048
0.186 0.564 0.548
0.814 0.436 0.452
0.452 0.406 0.541
0.548 0.594 0.459
0.048 0.906 0.959
0.952 0.094 0.041
0.599 0.735 0.181
0.401 0.265 0.819
0.901 0.235 0.319
0.099 0.765 0.681
0.163 0.289 0.834
0.837 0.711 0.166
0.337 0.789 0.666
0.663 0.211 0.334
0.574 0.674 0.820
0.426 0.326 0.180
0.926 0.174 0.680
0.074 0.826 0.320
```

## Properties
For the final energy, the calculation gives -3.11 eV/atom. For the density of states at the Fermi level, the calculation gives 0.0 states/eV per cell.